Compound: Ho2Hg2Ir
Source: the Alexandria database
Functional: PBE
Structure: relaxed

Properties
E ... -4.30 eV per atom
Total magnetic moment ... 0.00 μB per cell
Energy of formation from the pure elements ... -0.573 eV per atom
Mass density ... 13.40 g/cm3
Crystal system ... tetragonal

Unit cell a=9.967 b=9.967 c=9.967 alpha=160.12 beta=160.12 gamma=28.26
Sites, in units of the cell vectors:
Ho: 0.086 0.086 0.000
Ho: 0.914 0.914 0.000
Hg: 0.302 0.302 0.000
Hg: 0.698 0.698 0.000
Ir: 0.500 0.500 0.000

=====

Compound: LiHoHgIr
Source: the Alexandria database
Functional: PBE
Structure: relaxed

Properties
E ... -4.30 eV per atom
Total magnetic moment ... 0.00 μB per cell
Energy of formation from the pure elements ... -0.382 eV per atom
Mass density ... 12.36 g/cm3
Crystal system ... cubic

Unit cell a=4.752 b=4.752 c=4.752 alpha=60.00 beta=60.00 gamma=60.00
Sites, in units of the cell vectors:
Li: 0.000 0.000 0.000
Ho: 0.250 0.250 0.250
Hg: 0.750 0.750 0.750
Ir: 0.500 0.500 0.500

=====

Compound: NdHoHgIr
Source: the Alexandria database
Functional: PBE
Structure: relaxed

Properties
E ... -5.18 eV per atom
Total magnetic moment ... 0.00 μB per cell
Energy of formation from the pure elements ... -0.552 eV per atom
Mass density ... 12.33 g/cm3
Crystal system ... cubic

Unit cell a=5.114 b=5.114 c=5.114 alpha=60.00 beta=60.00 gamma=60.00
Sites, in units of the cell vectors:
Nd: 0.000 0.000 0.000
Ho: 0.500 0.500 0.500
Hg: 0.750 0.750 0.750
Ir: 0.250 0.250 0.250

=====

Compound: HoHgIrO6
Source: the Alexandria database
Functional: PBE
Structure: relaxed

Properties
E ... -6.05 eV per atom
Total magnetic moment ... 1.28 μB per cell
Formation energy from raw total energies ... -1.223 eV per atom
Mass density ... 8.71 g/cm3
Crystal system ... trigonal

Unit cell a=5.594 b=5.594 c=9.195 alpha=90.00 beta=90.00 gamma=120.00
Sites, in units of the cell vectors:
Ho: 0.333 0.667 0.250
Ho: 0.667 0.333 0.750
Hg: 0.000 0.000 0.000
Hg: 0.000 0.000 0.500
Ir: 0.333 0.667 0.750
Ir: 0.667 0.333 0.250
O: 0.041 0.390 0.632
O: 0.041 0.651 0.868
O: 0.349 0.390 0.868
O: 0.349 0.959 0.632
O: 0.390 0.041 0.132
O: 0.390 0.349 0.368
O: 0.610 0.651 0.632
O: 0.610 0.959 0.868
O: 0.651 0.041 0.368
O: 0.651 0.610 0.132
O: 0.959 0.349 0.132
O: 0.959 0.610 0.368

=====

Compound: HoHgIrPd
Source: the Alexandria database
Functional: PBE
Structure: relaxed

Properties
E ... -5.20 eV per atom
Total magnetic moment ... 0.00 μB per cell
Energy of formation from the pure elements ... -0.462 eV per atom
Mass density ... 14.58 g/cm3
Crystal system ... cubic

Unit cell a=4.747 b=4.747 c=4.747 alpha=60.00 beta=60.00 gamma=60.00
Sites, in units of the cell vectors:
Ho: 0.000 0.000 0.000
Hg: 0.500 0.500 0.500
Ir: 0.250 0.250 0.250
Pd: 0.750 0.750 0.750

=====

Compound: Ho4HgIrPd2
Source: the Alexandria database
Functional: PBE
Structure: relaxed

Properties
E ... -5.54 eV per atom
Total magnetic moment ... 0.00 μB per cell
Energy of formation from the pure elements ... -0.805 eV per atom
Mass density ... 11.98 g/cm3
Crystal system ... trigonal

Unit cell a=8.627 b=8.627 c=8.627 alpha=33.63 beta=33.63 gamma=33.63
Sites, in units of the cell vectors:
Ho: 0.118 0.118 0.118
Ho: 0.369 0.369 0.369
Ho: 0.631 0.631 0.631
Ho: 0.882 0.882 0.882
Hg: 0.500 0.500 0.500
Ir: 0.000 0.000 0.000
Pd: 0.247 0.247 0.247
Pd: 0.753 0.753 0.753

=====

Compound: PmHoHgIr
Source: the Alexandria database
Functional: PBE
Structure: relaxed

Properties
E ... -5.19 eV per atom
Total magnetic moment ... 0.00 μB per cell
Energy of formation from the pure elements ... -0.572 eV per atom
Mass density ... 12.48 g/cm3
Crystal system ... cubic

Unit cell a=5.094 b=5.094 c=5.094 alpha=60.00 beta=60.00 gamma=60.00
Sites, in units of the cell vectors:
Pm: 0.000 0.000 0.000
Ho: 0.500 0.500 0.500
Hg: 0.750 0.750 0.750
Ir: 0.250 0.250 0.250

=====

Compound: PrHoHgIr
Source: the Alexandria database
Functional: PBE
Structure: relaxed

Properties
E ... -5.16 eV per atom
Total magnetic moment ... 0.00 μB per cell
Energy of formation from the pure elements ... -0.532 eV per atom
Mass density ... 12.12 g/cm3
Crystal system ... cubic

Unit cell a=5.135 b=5.135 c=5.135 alpha=60.00 beta=60.00 gamma=60.00
Sites, in units of the cell vectors:
Pr: 0.000 0.000 0.000
Ho: 0.500 0.500 0.500
Hg: 0.250 0.250 0.250
Ir: 0.750 0.750 0.750

=====

Compound: Ho5Hg2IrRh2
Source: the Alexandria database
Functional: PBE
Structure: relaxed

Properties
E ... -5.34 eV per atom
Total magnetic moment ... 0.00 μB per cell
Energy of formation from the pure elements ... -0.635 eV per atom
Mass density ... 11.55 g/cm3
Crystal system ... tetragonal

Unit cell a=11.452 b=11.452 c=3.559 alpha=90.00 beta=90.00 gamma=90.00
Sites, in units of the cell vectors:
Ho: 0.000 0.500 0.000
Ho: 0.078 0.191 0.000
Ho: 0.191 0.922 0.000
Ho: 0.309 0.422 0.000
Ho: 0.422 0.691 0.000
Ho: 0.500 0.000 0.000
Ho: 0.578 0.309 0.000
Ho: 0.691 0.578 0.000
Ho: 0.809 0.078 0.000
Ho: 0.922 0.809 0.000
Hg: 0.173 0.673 0.500
Hg: 0.327 0.173 0.500
Hg: 0.673 0.827 0.500
Hg: 0.827 0.327 0.500
Ir: 0.000 0.000 0.500
Ir: 0.500 0.500 0.500
Rh: 0.133 0.367 0.500
Rh: 0.367 0.867 0.500
Rh: 0.633 0.133 0.500
Rh: 0.867 0.633 0.500

=====

Compound: Ho5Hg2IrRu2
Source: the Alexandria database
Functional: PBE
Structure: relaxed

Properties
E ... -5.48 eV per atom
Total magnetic moment ... 0.00 μB per cell
Energy of formation from the pure elements ... -0.387 eV per atom
Mass density ... 11.59 g/cm3
Crystal system ... tetragonal

Unit cell a=11.549 b=11.549 c=3.482 alpha=90.00 beta=90.00 gamma=90.00
Sites, in units of the cell vectors:
Ho: 0.000 0.500 0.000
Ho: 0.076 0.192 0.000
Ho: 0.192 0.924 0.000
Ho: 0.308 0.424 0.000
Ho: 0.424 0.692 0.000
Ho: 0.500 0.000 0.000
Ho: 0.576 0.308 0.000
Ho: 0.692 0.576 0.000
Ho: 0.808 0.076 0.000
Ho: 0.924 0.808 0.000
Hg: 0.176 0.676 0.500
Hg: 0.324 0.176 0.500
Hg: 0.676 0.824 0.500
Hg: 0.824 0.324 0.500
Ir: 0.000 0.000 0.500
Ir: 0.500 0.500 0.500
Ru: 0.133 0.367 0.500
Ru: 0.367 0.867 0.500
Ru: 0.633 0.133 0.500
Ru: 0.867 0.633 0.500

=====

Compound: HoScHgIr
Source: the Alexandria database
Functional: PBE
Structure: relaxed

Properties
E ... -5.63 eV per atom
Total magnetic moment ... 0.00 μB per cell
Energy of formation from the pure elements ... -0.613 eV per atom
Mass density ... 12.07 g/cm3
Crystal system ... cubic

Unit cell a=4.895 b=4.895 c=4.895 alpha=60.00 beta=60.00 gamma=60.00
Sites, in units of the cell vectors:
Ho: 0.000 0.000 0.000
Sc: 0.500 0.500 0.500
Hg: 0.750 0.750 0.750
Ir: 0.250 0.250 0.250

=====

Compound: TbHoHgIr
Source: the Alexandria database
Functional: PBE
Structure: relaxed

Properties
E ... -5.22 eV per atom
Total magnetic moment ... 0.00 μB per cell
Energy of formation from the pure elements ... -0.623 eV per atom
Mass density ... 13.18 g/cm3
Crystal system ... cubic

Unit cell a=5.035 b=5.035 c=5.035 alpha=60.00 beta=60.00 gamma=60.00
Sites, in units of the cell vectors:
Tb: 0.000 0.000 0.000
Ho: 0.500 0.500 0.500
Hg: 0.750 0.750 0.750
Ir: 0.250 0.250 0.250

=====

Q: Among the records above, which one has the lowest E?
A: HoHgIrO6

=====

Q: Among the records above, which one has the lowest mass density?
A: HoHgIrO6

=====

Q: What is the mass density in the third record?
A: 12.33 g/cm3